#A
Zr3AsPb, single point on PBEsol structure, DFT SCAN; total magnetic moment = 0.00 μB/f.u.; V = 122.69 Å³/f.u.; density of states at the Fermi level = 1.009 states/eV per atom
1.0
-2.214 -3.370 -2.903
4.205 -2.643 -0.139
-1.450 -2.519 4.030
Pb As Zr
1 1 3
direct
0.500 0.500 0.500
0.000 0.000 0.000
0.000 0.500 0.000
0.000 0.000 0.500
0.500 0.000 0.000

=====

#B
Zr3AsPb, single point on PBEsol structure, DFT SCAN; total magnetic moment = 0.00 μB/f.u.; V = 146.84 Å³/f.u.; density of states at the Fermi level = 1.443 states/eV per atom
1.0
5.276 0.000 0.000
0.000 5.276 0.000
0.000 0.000 5.276
Pb As Zr
1 1 3
direct
0.000 0.000 0.000
0.500 0.500 0.500
0.000 0.500 0.000
0.000 0.000 0.500
0.500 0.000 0.000

=====

It is #B that is the least stable of them.

=====

#A
As3Pt, single point on PBEsol structure, DFT SCAN; total magnetic moment = 0.00 μB/f.u.; V = 72.49 Å³/f.u.; density of states at the Fermi level = 0.433 states/eV per atom
1.0
-0.792 3.488 -0.860
-2.553 1.832 1.914
3.238 3.732 4.283
As Pt
3 1
direct
0.744 0.744 0.768
0.500 0.500 0.500
0.256 0.256 0.232
0.000 0.000 0.000

=====

#B
As3Pt, single point on PBEsol structure, DFT SCAN; total magnetic moment = 0.00 μB/f.u.; V = 70.18 Å³/f.u.; density of states at the Fermi level = 0.445 states/eV per atom
1.0
-1.619 2.304 0.575
-2.568 -2.025 0.885
2.372 -0.032 6.806
As Pt
3 1
direct
0.500 0.500 0.780
0.000 0.000 0.500
0.500 0.500 0.220
0.000 0.000 0.000

=====

#C
As3Pt, single point on PBEsol structure, DFT SCAN; total magnetic moment = 0.00 μB/f.u.; V = 71.52 Å³/f.u.; density of states at the Fermi level = 0.452 states/eV per atom
1.0
2.856 0.000 0.000
0.000 2.856 0.000
0.000 0.000 8.766
As Pt
3 1
direct
0.000 0.000 0.789
0.500 0.500 0.500
0.000 0.000 0.211
0.500 0.500 0.000

=====

#D
As3Pt, single point on PBEsol structure, DFT SCAN; total magnetic moment = 0.00 μB/f.u.; V = 68.56 Å³/f.u.; density of states at the Fermi level = 0.465 states/eV per atom
1.0
4.466 0.000 0.000
0.000 4.466 0.000
-2.233 -2.233 6.875
As Pt
6 2
direct
0.000 0.500 0.000
0.500 0.000 0.000
0.750 0.250 0.500
0.250 0.750 0.500
0.890 0.890 0.781
0.110 0.110 0.219
0.635 0.635 0.270
0.365 0.365 0.730

=====

It is #D that is the least stable of them.

=====

#A
As2RuPt, single point on PBEsol structure, DFT SCAN; total magnetic moment = 0.00 μB/f.u.; V = 62.02 Å³/f.u.; density of states at the Fermi level = 0.835 states/eV per atom
1.0
-0.563 -2.684 0.979
-0.325 -1.605 -4.684
4.645 1.266 1.862
Ru As Pt
1 2 1
direct
0.000 0.500 0.000
0.000 0.000 0.500
0.500 0.500 0.500
0.500 0.000 0.000

=====

#B
As2RuPt, single point on PBEsol structure, DFT SCAN; total magnetic moment = 0.00 μB/f.u.; V = 61.85 Å³/f.u.; density of states at the Fermi level = 0.843 states/eV per atom
1.0
-2.033 1.251 -1.905
-2.585 -3.459 0.487
0.209 3.181 4.314
Ru As Pt
1 2 1
direct
0.270 0.770 0.540
0.984 0.984 0.967
0.756 0.256 0.511
0.491 0.491 0.982

=====

It is #A that is the least stable of them.

=====

#A
Sc2AsPt, single point on PBEsol structure, DFT SCAN; total magnetic moment = 0.00 μB/f.u.; V = 71.05 Å³/f.u.; density of states at the Fermi level = 0.717 states/eV per atom
1.0
4.489 0.000 0.000
-2.245 4.179 -0.002
0.000 -2.409 3.788
As Pt Sc
1 1 2
direct
0.500 0.000 0.500
0.000 0.000 0.000
0.750 0.500 0.250
0.250 0.500 0.750

=====

#B
Sc2AsPt, single point on PBEsol structure, DFT SCAN; total magnetic moment = 1.65 μB/f.u.; V = 70.07 Å³/f.u.; density of states at the Fermi level = 1.364 states/eV per atom
1.0
4.628 0.000 0.000
2.314 4.008 0.000
2.314 1.336 3.778
As Pt Sc
1 1 2
direct
0.500 0.500 0.500
0.250 0.250 0.250
0.000 0.000 0.000
0.750 0.750 0.750

=====

It is #B that is the least stable of them.

=====

#A
TeAsPt2, single point on PBEsol structure, DFT SCAN; total magnetic moment = 0.00 μB/f.u.; V = 71.11 Å³/f.u.; density of states at the Fermi level = 0.497 states/eV per atom
1.0
3.347 0.000 0.000
0.000 3.347 0.000
0.000 0.000 6.349
As Te Pt
1 1 2
direct
0.500 0.500 0.500
0.500 0.500 0.000
0.000 0.000 0.725
0.000 0.000 0.275

=====

#B
TeAsPt2, single point on PBEsol structure, DFT SCAN; total magnetic moment = 0.00 μB/f.u.; V = 72.00 Å³/f.u.; density of states at the Fermi level = 0.483 states/eV per atom
1.0
4.670 0.000 0.000
2.335 4.044 0.000
2.335 1.348 3.813
As Te Pt
1 1 2
direct
0.500 0.500 0.500
0.750 0.750 0.750
0.000 0.000 0.000
0.250 0.250 0.250

=====

#C
TeAsPt2, single point on PBEsol structure, DFT SCAN; total magnetic moment = 0.00 μB/f.u.; V = 82.09 Å³/f.u.; density of states at the Fermi level = 0.381 states/eV per atom
1.0
-0.838 -0.654 3.706
-1.476 -3.396 1.072
5.117 -3.615 2.525
As Te Pt
1 1 2
direct
0.281 0.281 0.158
0.480 0.480 0.560
0.996 0.996 0.012
0.743 0.743 0.770

=====

#D
TeAsPt2, single point on PBEsol structure, DFT SCAN; total magnetic moment = 0.00 μB/f.u.; V = 75.60 Å³/f.u.; density of states at the Fermi level = 0.539 states/eV per atom
1.0
3.831 0.000 0.000
-1.915 3.309 -0.052
0.000 -2.116 5.996
As Te Pt
1 1 2
direct
0.500 0.000 0.000
0.000 0.000 0.500
0.763 0.525 0.787
0.237 0.475 0.213

=====

It is #B that is the least stable of them.

=====

#A
TlAs2Pt, single point on PBEsol structure, DFT SCAN; total magnetic moment = 0.00 μB/f.u.; V = 76.48 Å³/f.u.; density of states at the Fermi level = 0.476 states/eV per atom
1.0
4.074 0.000 0.000
0.000 4.074 0.000
0.000 0.000 4.607
Tl As Pt
1 2 1
direct
0.000 0.000 0.500
0.000 0.500 0.000
0.500 0.000 0.000
0.500 0.500 0.500

=====

#B
TlAs2Pt, single point on PBEsol structure, DFT SCAN; total magnetic moment = 0.00 μB/f.u.; V = 81.04 Å³/f.u.; density of states at the Fermi level = 0.406 states/eV per atom
1.0
-2.201 -0.597 -1.805
-3.018 -1.704 4.246
0.821 5.868 -0.599
Tl As Pt
1 2 1
direct
0.000 0.500 0.000
0.792 0.792 0.584
0.208 0.208 0.416
0.500 0.000 0.000

=====

#C
TlAs2Pt, single point on PBEsol structure, DFT SCAN; total magnetic moment = 0.00 μB/f.u.; V = 77.73 Å³/f.u.; density of states at the Fermi level = 0.338 states/eV per atom
1.0
3.791 0.000 0.000
0.000 4.649 0.021
0.000 -1.490 4.404
Tl As Pt
1 2 1
direct
0.500 0.500 0.500
0.000 0.500 0.000
0.000 0.000 0.500
0.500 0.000 0.000

=====

#D
TlAs2Pt, single point on PBEsol structure, DFT SCAN; total magnetic moment = 0.00 μB/f.u.; V = 75.94 Å³/f.u.; density of states at the Fermi level = 0.473 states/eV per atom
1.0
4.753 0.000 0.000
2.377 4.117 0.000
2.377 1.372 3.881
Tl As Pt
1 2 1
direct
0.750 0.750 0.750
0.000 0.000 0.000
0.250 0.250 0.250
0.500 0.500 0.500

=====

It is #D that is the least stable of them.

=====

#A
ZnAsPt, single point on PBEsol structure, DFT SCAN; total magnetic moment = 0.00 μB/f.u.; V = 47.22 Å³/f.u.; density of states at the Fermi level = 0.329 states/eV per atom
1.0
-0.679 0.288 -2.768
-1.902 -2.127 0.246
-2.791 4.730 2.658
As Pt Zn
1 1 1
direct
0.009 0.009 0.017
0.671 0.671 0.343
0.320 0.320 0.640

=====

#B
ZnAsPt, single point on PBEsol structure, DFT SCAN; total magnetic moment = 0.00 μB/f.u.; V = 51.39 Å³/f.u.; density of states at the Fermi level = 0.463 states/eV per atom
1.0
4.173 0.000 0.000
2.087 3.614 0.000
2.087 1.205 3.407
As Pt Zn
1 1 1
direct
0.000 0.000 0.000
0.500 0.500 0.500
0.250 0.250 0.250

=====

It is #B that is the least stable of them.

=====

#A
Rb2AsS, single point on PBEsol structure, DFT SCAN; total magnetic moment = 0.00 μB/f.u.; V = 181.54 Å³/f.u.; density of states at the Fermi level = 0.758 states/eV per atom
1.0
4.969 0.000 0.000
2.485 8.548 0.000
2.485 0.000 8.548
As S Rb
2 2 4
direct
0.000 0.000 0.000
0.750 0.500 0.500
0.500 0.000 0.000
0.250 0.500 0.500
0.875 0.798 0.702
0.375 0.202 0.298
0.423 0.702 0.202
0.327 0.298 0.798

=====

#B
Rb2AsS, single point on PBEsol structure, DFT SCAN; total magnetic moment = 2.97 μB/f.u.; V = 128.00 Å³/f.u.
1.0
5.657 0.000 0.000
2.828 4.899 0.000
2.828 1.633 4.619
As S Rb
1 1 2
direct
0.500 0.500 0.500
0.000 0.000 0.000
0.250 0.250 0.250
0.750 0.750 0.750

=====

It is #B that is the least stable of them.

=====

#A
RbSbAs2Se, single point on PBEsol structure, DFT SCAN; total magnetic moment = 2.20 μB/f.u.; V = 155.56 Å³/f.u.; density of states at the Fermi level = 0.595 states/eV per atom
1.0
5.320 0.000 0.000
0.000 5.320 0.000
0.000 0.000 5.497
Sb As Se Rb
1 2 1 1
direct
0.000 0.000 0.000
0.000 0.500 0.000
0.500 0.000 0.000
0.000 0.000 0.500
0.500 0.500 0.500

=====

#B
RbSbAs2Se, single point on PBEsol structure, DFT SCAN; total magnetic moment = 0.00 μB/f.u.; V = 158.72 Å³/f.u.; density of states at the Fermi level = 1.167 states/eV per atom
1.0
5.405 0.000 0.000
0.000 5.405 0.000
0.000 0.000 5.432
Sb As Se Rb
1 2 1 1
direct
0.500 0.500 0.500
0.000 0.500 0.000
0.500 0.000 0.000
0.000 0.000 0.500
0.000 0.000 0.000

=====

It is #B that is the least stable of them.

=====

#A
Re2SbAs, single point on PBEsol structure, DFT SCAN; total magnetic moment = 0.00 μB/f.u.; V = 67.06 Å³/f.u.; density of states at the Fermi level = 0.806 states/eV per atom
1.0
-2.967 0.751 0.526
0.505 -0.873 4.095
1.382 4.854 0.865
Re As Sb
2 1 1
direct
0.000 0.000 0.000
0.500 0.000 0.500
0.000 0.500 0.500
0.500 0.500 0.000

=====

#B
Re2SbAs, single point on PBEsol structure, DFT SCAN; total magnetic moment = 0.00 μB/f.u.; V = 65.91 Å³/f.u.; density of states at the Fermi level = 0.715 states/eV per atom
1.0
-3.020 -0.031 0.163
1.701 -2.781 2.918
0.104 4.629 2.816
Re As Sb
2 1 1
direct
0.748 0.495 0.787
0.252 0.505 0.213
0.500 0.000 0.000
0.000 0.000 0.500

=====

#C
Re2SbAs, single point on PBEsol structure, DFT SCAN; total magnetic moment = 0.00 μB/f.u.; V = 62.92 Å³/f.u.; density of states at the Fermi level = 0.676 states/eV per atom
1.0
-4.381 -0.444 -0.738
-2.242 -3.389 1.849
-2.909 0.782 3.295
Re As Sb
2 1 1
direct
0.250 0.250 0.250
0.750 0.750 0.750
0.500 0.500 0.500
0.000 0.000 0.000

=====

It is #A that is the least stable of them.

=====

#A
TaReAs, single point on PBEsol structure, DFT SCAN; total magnetic moment = 0.00 μB/f.u.; V = 46.36 Å³/f.u.; density of states at the Fermi level = 0.761 states/eV per atom
1.0
-0.967 -0.271 -2.842
-2.311 -1.687 0.947
-1.199 5.183 1.512
Re As Ta
1 1 1
direct
0.650 0.650 0.300
0.015 0.015 0.030
0.335 0.335 0.670

=====

#B
TaReAs, single point on PBEsol structure, DFT SCAN; total magnetic moment = 0.00 μB/f.u.; V = 47.50 Å³/f.u.; density of states at the Fermi level = 0.670 states/eV per atom
1.0
3.046 0.000 0.000
0.000 3.886 0.000
-1.523 -1.943 4.013
Re As Ta
1 1 1
direct
0.670 0.670 0.340
0.001 0.001 0.003
0.329 0.329 0.657

=====

It is #B that is the least stable of them.